Entry 1:
VASP calculation (GGA-PBEsol) on a relaxed structure of TbAgSn.

Cell: 4.658 4.658 7.288 Å, 90.00 90.00 120.00°
Atoms (fractional coordinates):
Sn: 0.667 0.333 0.227
Sn: 0.667 0.333 0.773
Ag: 0.333 0.667 0.299
Ag: 0.333 0.667 0.701
Tb: 0.000 0.000 0.000
Tb: 0.000 0.000 0.500

Calculated values
ΔE_f: -0.5991 eV/atom
space group: P-6m2 (187)

Entry 2:
VASP calculation (GGA-PBEsol) on a relaxed structure of B2MoW2.

Cell: 3.152 5.989 5.989 Å, 90.00 90.00 90.00°
Atoms (fractional coordinates):
W: 0.500 0.829 0.329
W: 0.500 0.329 0.171
W: 0.500 0.171 0.671
W: 0.500 0.671 0.829
B: 0.000 0.116 0.384
B: 0.000 0.884 0.616
B: 0.000 0.384 0.884
B: 0.000 0.616 0.116
Mo: 0.000 0.500 0.500
Mo: 0.000 0.000 0.000

Calculated values
ΔE_f: -0.3634 eV/atom
space group: P4/mbm (127)

Entry 3:
VASP calculation (GGA-PBEsol) on a relaxed structure of LaSc2Ni.

Cell: 4.073 4.073 5.955 Å, 110.00 110.00 90.00°
Each line ends with the local moment (μB).
Atoms (fractional coordinates):
Sc: 0.250 0.750 0.500  -0.17
Sc: 0.750 0.250 0.500  -0.17
La: 0.500 0.500 0.000  -0.02
Ni: 0.000 0.000 0.000  -0.01

Calculated values
offset from the most stable computed form: 315 meV per atom
ΔE_f: 0.1179 eV/atom
space group: I4/mmm (139)

Entry 4:
VASP calculation (GGA-PBEsol) on a relaxed structure of La2InBr.

Cell: 3.597 3.597 8.435 Å, 90.00 90.00 90.00°
Atoms (fractional coordinates):
La: 0.000 0.000 0.247
La: 0.000 0.000 0.753
Br: 0.500 0.500 0.000
In: 0.500 0.500 0.500

Calculated values
offset from the most stable computed form: 0 meV per atom
raw formation energy: -928 meV per atom
space group: P4/mmm (123)

Entry 5:
VASP calculation (GGA-PBEsol) on a relaxed structure of Na3FeAsCO7.

Cell: 5.181 6.705 9.155 Å, 90.00 90.71 90.00°
Each line ends with the local moment (μB).
Atoms (fractional coordinates):
O: 0.229 0.548 0.305  0.05
O: 0.051 0.250 0.118  0.04
O: 0.482 0.250 0.136  0.03
O: 0.949 0.750 0.882  0.04
O: 0.712 0.750 0.086  0.01
O: 0.771 0.048 0.695  0.05
O: 0.367 0.250 0.553  0.05
O: 0.852 0.250 0.418  0.05
O: 0.148 0.750 0.582  0.05
O: 0.771 0.452 0.695  0.05
O: 0.229 0.952 0.305  0.05
O: 0.288 0.250 0.914  0.01
O: 0.633 0.750 0.447  0.05
O: 0.518 0.750 0.864  0.03
Fe: 0.782 0.750 0.657  3.56
Fe: 0.218 0.250 0.343  3.56
Na: 0.748 0.500 0.257  0.00
Na: 0.252 0.500 0.743  0.00
Na: 0.765 0.250 0.919  0.00
Na: 0.252 0.000 0.743  0.00
Na: 0.235 0.750 0.081  0.00
Na: 0.748 0.000 0.257  0.00
As: 0.302 0.750 0.417  0.01
As: 0.698 0.250 0.583  0.01
C: 0.726 0.750 0.945  0.00
C: 0.274 0.250 0.055  0.00

Calculated values
raw formation energy: -1523 meV per atom
space group: P2_1/m (11)

Entry 6:
VASP calculation (GGA-PBEsol) on a relaxed structure of InMoOs2.

Cell: 2.994 4.611 5.268 Å, 115.96 106.51 90.00°
Atoms (fractional coordinates):
Mo: 0.000 0.500 0.000
Os: 0.252 0.252 0.504
Os: 0.748 0.748 0.496
In: 0.500 0.000 0.000

Calculated values
ΔE_f: 0.4866 eV/atom
space group: Immm (71)

E readings, ordered: -4.79, -11.05, -6.06, -4.81, -6.50, -9.31 eV per atom